DFT (GGA-PBE) results for a relaxed Dy2PaGa6 crystal.

The space group is Immm (No. 71) and the conventional cell measures 4.2027, 7.0443 and 13.4081 Å, with angles of 90.00, 90.00 and 90.00 degrees. The asymmetric unit holds Dy at (0.0000, 0.0000, 0.1278), Pa at (0.0000, 0.5000, 0.0000), Ga at (0.0000, 0.1878, 0.3214) and Ga at (0.0000, 0.3123, 0.5000).

Its calculated density is 8.2 g/cm3. The value obtained for the polymorph energy (0 for the lowest one) is 237 meV per atom.

---

DFT (GGA-PBE) results for a relaxed Dy2PaGa9 crystal.

The space group is P4/mmm (No. 123) and the conventional cell measures 4.2795, 4.2795 and 12.8268 Å, with angles of 90.00, 90.00 and 90.00 degrees. The asymmetric unit holds Dy at (0.0000, 0.0000, 0.1661), Pa at (0.0000, 0.0000, 0.5000), Ga at (0.0000, 0.5000, 0.0000), Ga at (0.0000, 0.5000, 0.3327), Ga at (0.5000, 0.5000, 0.1663) and Ga at (0.5000, 0.5000, 0.5000).

For the total energy, the calculation gives -51.820 eV for the cell shown. Its calculated density is 8.4 g/cm3.

---

DFT (GGA-PBE) results for a relaxed DyPa2Ga9 crystal.

The space group is P4/mmm (No. 123) and the conventional cell measures 4.2961, 4.2961 and 12.8311 Å, with angles of 90.00, 90.00 and 90.00 degrees. The asymmetric unit holds Dy at (0.0000, 0.0000, 0.0000), Pa at (0.0000, 0.0000, 0.3326), Ga at (0.0000, 0.5000, 0.1656), Ga at (0.0000, 0.5000, 0.5000), Ga at (0.5000, 0.5000, 0.0000) and Ga at (0.5000, 0.5000, 0.3354).

For the total energy, the calculation gives -56.007 eV for the cell shown. Its calculated density is 8.8 g/cm3.

---

DFT (GGA-PBE) results for a relaxed DyPa3Ga12 crystal.

The space group is P4/mmm (No. 123) and the conventional cell measures 4.2952, 4.2952 and 17.1421 Å, with angles of 90.00, 90.00 and 90.00 degrees. The asymmetric unit holds Dy at (0.0000, 0.0000, 0.0000), Pa at (0.0000, 0.0000, 0.2491), Pa at (0.0000, 0.0000, 0.5000), Ga at (0.0000, 0.5000, 0.1241), Ga at (0.0000, 0.5000, 0.3747), Ga at (0.5000, 0.5000, 0.0000), Ga at (0.5000, 0.5000, 0.2514) and Ga at (0.5000, 0.5000, 0.5000).

For the total energy, the calculation gives -76.108 eV for the cell shown. Its calculated density is 8.9 g/cm3.

---

DFT (GGA-PBE) results for a relaxed Dy2PaGa6 crystal.

The space group is P6/mmm (No. 191) and the conventional cell measures 7.3145, 7.3145 and 4.0305 Å, with angles of 90.00, 90.00 and 120.00 degrees. The asymmetric unit holds Dy at (0.3333, 0.6667, 0.0000), Pa at (0.0000, 0.0000, 0.0000) and Ga at (0.0000, 0.3328, 0.5000).

Its calculated density is 8.7 g/cm3. The value obtained for the polymorph energy (0 for the lowest one) is 0 meV per atom.

---

DFT (GGA-PBE) results for a relaxed DyPaGa5 crystal.

The space group is Cmmm (No. 65) and the conventional cell measures 5.8214, 8.8261 and 6.0421 Å, with angles of 90.00, 90.00 and 90.00 degrees. The asymmetric unit holds Dy at (0.0000, 0.0000, 0.0000), Pa at (0.0000, 0.5000, 0.5000), Ga at (0.0000, 0.5000, 0.0000) and Ga at (0.2500, 0.2500, 0.2516).

For the total energy, the calculation gives -60.600 eV for the cell shown. Its calculated density is 7.9 g/cm3.

---

> Which of these has the highest calculated density?

DyPa3Ga12

---

> Which of these has the highest calculated density?

DyPa3Ga12

---

> Which formula does entry 3 have?

DyPa2Ga9